*a*
A relaxed structure of CaY2S4, computed with PBE.

Results
For the volume, the calculation gives 671 Å³ per cell.

Cell: 13.0335 3.9090 13.1793 Å, 90.00 90.00 90.00°
With the nearest neighbours (Å) after each atom.
Space group Pnma (No. 62)
One atom of each set of equivalent atoms:
Ca: 0.1297 0.2500 0.0813  7 S 2.88-3.06
Y: 0.1079 0.7500 0.4166  6 S 2.72-2.82
Y: 0.1464 0.7500 0.7969  6 S 2.73-2.79
S: 0.0288 0.2500 0.8824  2 Y 2.73, 3 Ca 2.88-2.93
S: 0.0332 0.7500 0.6172  4 Y 2.72-2.82
S: 0.2177 0.7500 0.2368  3 Y 2.75-2.77, 2 Ca 3.06
S: 0.2440 0.2500 0.4747  3 Y 2.74-2.75, 2 Ca 2.92

*b*
A relaxed structure of CaY2S4, computed with PBE.

Results
For the volume, the calculation gives 670 Å³ per cell.

Cell: 12.0458 3.9375 14.1339 Å, 90.00 90.00 90.00°
With the nearest neighbours (Å) after each atom.
Space group Pnma (No. 62)
One atom of each set of equivalent atoms:
Ca: 0.2474 0.2500 0.1639  7 S 2.98-3.07
Y: 0.0620 0.2500 0.3861  6 S 2.69-2.77
Y: 0.0894 0.2500 0.9028  6 S 2.66-2.79
S: 0.0397 0.7500 0.7831  3 Y 2.66-2.69
S: 0.0924 0.2500 0.5769  3 Y 2.72-2.76, 2 Ca 3.02
S: 0.1302 0.7500 0.0371  3 Y 2.78, 2 Ca 3.01
S: 0.2020 0.7500 0.3174  3 Y 2.77-2.79, 2 Ca 2.98

Winner for stability: *a*

*a*
A relaxed structure of Ca2YS3, computed with PBE.

Results
For the volume, the calculation gives 2148 Å³ per cell.

Cell: 7.9810 11.2707 23.8838 Å, 90.00 90.00 90.00°
With the nearest neighbours (Å) after each atom.
Space group Fddd (No. 70, origin choice 2)
One atom of each set of equivalent atoms:
Ca: 0.1250 0.1250 0.0422  6 S 2.83-2.85
Ca: 0.1250 0.1250 0.3745  6 S 2.82-2.84
Y: 0.1250 0.1250 0.5419  6 S 2.79
S: 0.1202 0.3750 0.8750  2 Y 2.79, 4 Ca 2.82-2.84
S: 0.1223 0.3725 0.7092  2 Y 2.79, 4 Ca 2.83-2.85

*b*
A relaxed structure of Ca2YS3, computed with PBE.

Results
For the volume, the calculation gives 268 Å³ per cell.

Cell: 3.9730 5.6360 11.9885 Å, 90.00 90.00 90.00°
With the nearest neighbours (Å) after each atom.
Space group Immm (No. 71)
One atom of each set of equivalent atoms:
Ca: 0.0000 0.0000 0.1681  6 S 2.82-2.84
Y: 0.0000 0.0000 0.5000  6 S 2.79-2.82
S: 0.0000 0.5000 0.1630  2 Y 2.79, 4 Ca 2.82-2.84
S: 0.0000 0.5000 0.5000  2 Y 2.82, 4 Ca 2.83

Winner for stability: *a*